P) GaGeB2 after structural relaxation. Source: the Alexandria database, functional PBE.

Summary:
* SG: Fm-3m (225)

Lattice parameters (Å, degrees): 4.121 4.121 4.121 60.00 60.00 60.00
Positions (direct):
Ga  0.000  0.000  0.000
Ge  0.500  0.500  0.500
B  0.250  0.250  0.250
B  0.750  0.750  0.750

=====

Q) GaGeB2 after structural relaxation. Source: the Alexandria database, functional PBE.

Summary:
* SG: I-42d (122)

Lattice parameters (Å, degrees): 5.860 5.860 5.860 129.30 129.30 74.53
Positions (direct):
Ga  0.000  0.000  0.000
Ga  0.750  0.250  0.500
Ge  0.250  0.750  0.500
Ge  0.500  0.500  0.000
B  0.140  0.625  0.015
B  0.375  0.390  0.515
B  0.610  0.125  0.985
B  0.875  0.860  0.485

=====

Stability verdict: Q), ahead by 55.7 kJ/mol of atoms

=====

P) Ga2GeB after structural relaxation. Source: the Alexandria database, functional PBE.

Summary:
* SG: I-42d (122)

Lattice parameters (Å, degrees): 7.262 7.262 7.262 142.45 142.45 54.15
Positions (direct):
Ga  0.041  0.625  0.916
Ga  0.375  0.291  0.416
Ga  0.709  0.125  0.084
Ga  0.875  0.959  0.584
Ge  0.250  0.750  0.500
Ge  0.500  0.500  0.000
B  0.000  0.000  0.000
B  0.750  0.250  0.500

=====

Q) Ga2GeB after structural relaxation. Source: the Alexandria database, functional PBE.

Summary:
* SG: Fm-3m (225)

Lattice parameters (Å, degrees): 4.485 4.485 4.485 60.00 60.00 60.00
Positions (direct):
Ga  0.250  0.250  0.250
Ga  0.750  0.750  0.750
Ge  0.000  0.000  0.000
B  0.500  0.500  0.500

=====

Stability verdict: P), ahead by 38.7 kJ/mol of atoms

=====

P) Ga2BH after structural relaxation. Source: the Alexandria database, functional PBE.

Summary:
* SG: Fm-3m (225)

Lattice parameters (Å, degrees): 3.924 3.924 3.924 60.00 60.00 60.00
Positions (direct):
Ga  0.250  0.250  0.250
Ga  0.750  0.750  0.750
B  0.000  0.000  0.000
H  0.500  0.500  0.500

=====

Q) Ga2BH after structural relaxation. Source: the Alexandria database, functional PBE.

Summary:
* SG: I-42d (122)

Lattice parameters (Å, degrees): 6.246 6.246 6.246 137.59 137.59 61.53
Positions (direct):
Ga  0.111  0.625  0.986
Ga  0.375  0.361  0.486
Ga  0.639  0.125  0.014
Ga  0.875  0.889  0.514
B  0.000  0.000  0.000
B  0.750  0.250  0.500
H  0.250  0.750  0.500
H  0.500  0.500  0.000

=====

Stability verdict: Q), ahead by 23.7 kJ/mol of atoms

=====

P) GaB2H6 after structural relaxation. Source: the Alexandria database, functional PBE.

Summary:
* SG: P-1 (2)

Lattice parameters (Å, degrees): 2.698 3.904 7.627 87.36 89.74 70.95
Positions (direct):
Ga  0.000  0.000  0.000
B  0.023  0.954  0.391
B  0.977  0.046  0.609
H  0.093  0.801  0.722
H  0.174  0.646  0.333
H  0.408  0.189  0.626
H  0.592  0.811  0.374
H  0.826  0.354  0.667
H  0.907  0.199  0.278

=====

Q) GaB2H6 after structural relaxation. Source: the Alexandria database, functional PBE.

Summary:
* SG: C2/c (15)

Lattice parameters (Å, degrees): 8.188 8.188 3.374 101.08 101.08 74.40
Positions (direct):
Ga  0.095  0.905  0.750
Ga  0.905  0.095  0.250
B  0.267  0.400  0.397
B  0.400  0.267  0.897
B  0.600  0.733  0.103
B  0.733  0.600  0.603
H  0.151  0.332  0.299
H  0.238  0.552  0.396
H  0.332  0.151  0.799
H  0.339  0.419  0.777
H  0.419  0.339  0.277
H  0.448  0.762  0.104
H  0.552  0.238  0.896
H  0.581  0.661  0.723
H  0.661  0.581  0.223
H  0.668  0.849  0.201
H  0.762  0.448  0.604
H  0.849  0.668  0.701

=====

Stability verdict: Q), ahead by 13.6 kJ/mol of atoms

=====

P) GaB3H after structural relaxation. Source: the Alexandria database, functional PBE.

Summary:
* SG: Pm-3m (221)

Lattice parameters (Å, degrees): 3.417 3.417 3.417 90.00 90.00 90.00
Positions (direct):
Ga  0.000  0.000  0.000
B  0.000  0.500  0.500
B  0.500  0.000  0.500
B  0.500  0.500  0.000
H  0.500  0.500  0.500

=====

Q) GaB3H after structural relaxation. Source: the Alexandria database, functional PBE.

Summary:
* SG: Pm-3m (221)

Lattice parameters (Å, degrees): 4.143 4.143 4.143 90.00 90.00 90.00
Positions (direct):
Ga  0.000  0.000  0.000
B  0.000  0.000  0.500
B  0.000  0.500  0.000
B  0.500  0.000  0.000
H  0.500  0.500  0.500

=====

Stability verdict: P), ahead by 71.6 kJ/mol of atoms

=====

P) HfGa3B after structural relaxation. Source: the Alexandria database, functional PBE.

Summary:
* SG: Pm-3m (221)

Lattice parameters (Å, degrees): 5.200 5.200 5.200 90.00 90.00 90.00
Positions (direct):
Hf  0.000  0.000  0.000
Ga  0.000  0.000  0.500
Ga  0.000  0.500  0.000
Ga  0.500  0.000  0.000
B  0.500  0.500  0.500

=====

Q) HfGa3B after structural relaxation. Source: the Alexandria database, functional PBE.

Summary:
* SG: Pm-3m (221)

Lattice parameters (Å, degrees): 4.356 4.356 4.356 90.00 90.00 90.00
Positions (direct):
Hf  0.000  0.000  0.000
Ga  0.000  0.500  0.500
Ga  0.500  0.000  0.500
Ga  0.500  0.500  0.000
B  0.500  0.500  0.500

=====

Stability verdict: Q), ahead by 99.5 kJ/mol of atoms

=====

P) GaHgB2 after structural relaxation. Source: the Alexandria database, functional PBE.

Summary:
* SG: Fm-3m (225)

Lattice parameters (Å, degrees): 4.325 4.325 4.325 60.00 60.00 60.00
Positions (direct):
Ga  0.000  0.000  0.000
Hg  0.500  0.500  0.500
B  0.250  0.250  0.250
B  0.750  0.750  0.750

=====

Q) GaHgB2 after structural relaxation. Source: the Alexandria database, functional PBE.

Summary:
* SG: I-42d (122)

Lattice parameters (Å, degrees): 6.248 6.248 6.248 131.53 131.53 70.98
Positions (direct):
Ga  0.000  0.000  0.000
Ga  0.750  0.250  0.500
Hg  0.250  0.750  0.500
Hg  0.500  0.500  0.000
B  0.091  0.625  0.966
B  0.375  0.341  0.466
B  0.659  0.125  0.034
B  0.875  0.909  0.534

=====

Stability verdict: Q), ahead by 36.6 kJ/mol of atoms

=====

P) Ga2HgB after structural relaxation. Source: the Alexandria database, functional PBE.

Summary:
* SG: Fm-3m (225)

Lattice parameters (Å, degrees): 4.653 4.653 4.653 60.00 60.00 60.00
Positions (direct):
Ga  0.250  0.250  0.250
Ga  0.750  0.750  0.750
Hg  0.000  0.000  0.000
B  0.500  0.500  0.500

=====

Q) Ga2HgB after structural relaxation. Source: the Alexandria database, functional PBE.

Summary:
* SG: I-42d (122)

Lattice parameters (Å, degrees): 6.384 6.384 6.384 125.03 125.03 81.49
Positions (direct):
Ga  0.375  0.248  0.373
Ga  0.752  0.125  0.127
Ga  0.875  0.002  0.627
Ga  0.998  0.625  0.873
Hg  0.250  0.750  0.500
Hg  0.500  0.500  0.000
B  0.000  0.000  0.000
B  0.750  0.250  0.500

=====

Stability verdict: Q), ahead by 53.2 kJ/mol of atoms

=====

P) GaBI2 after structural relaxation. Source: the Alexandria database, functional PBE.

Summary:
* SG: Fm-3m (225)

Lattice parameters (Å, degrees): 5.475 5.475 5.475 60.00 60.00 60.00
Positions (direct):
Ga  0.000  0.000  0.000
B  0.500  0.500  0.500
I  0.250  0.250  0.250
I  0.750  0.750  0.750

=====

Q) GaBI2 after structural relaxation. Source: the Alexandria database, functional PBE.

Summary:
* SG: I-42d (122)

Lattice parameters (Å, degrees): 8.375 8.375 8.375 132.44 132.44 69.53
Positions (direct):
Ga  0.000  0.000  0.000
Ga  0.750  0.250  0.500
B  0.250  0.750  0.500
B  0.500  0.500  0.000
I  0.206  0.625  0.081
I  0.375  0.456  0.581
I  0.544  0.125  0.919
I  0.875  0.794  0.419

=====

Stability verdict: Q), ahead by 18.5 kJ/mol of atoms

=====

P) GaB2I after structural relaxation. Source: the Alexandria database, functional PBE.

Summary:
* SG: Fm-3m (225)

Lattice parameters (Å, degrees): 4.486 4.486 4.486 60.00 60.00 60.00
Positions (direct):
Ga  0.000  0.000  0.000
B  0.250  0.250  0.250
B  0.750  0.750  0.750
I  0.500  0.500  0.500

=====

Q) GaB2I after structural relaxation. Source: the Alexandria database, functional PBE.

Summary:
* SG: I-42d (122)

Lattice parameters (Å, degrees): 6.428 6.428 6.428 131.94 131.94 70.33
Positions (direct):
Ga  0.000  0.000  0.000
Ga  0.750  0.250  0.500
B  0.075  0.625  0.950
B  0.375  0.325  0.450
B  0.675  0.125  0.050
B  0.875  0.925  0.550
I  0.250  0.750  0.500
I  0.500  0.500  0.000

=====

Stability verdict: Q), ahead by 85.8 kJ/mol of atoms

=====

P) GaBIN2 after structural relaxation. Source: the Alexandria database, functional PBE.

Summary:
* SG: P4/mmm (123)

Lattice parameters (Å, degrees): 3.541 3.541 6.128 90.00 90.00 90.00
Positions (direct):
Ga  0.000  0.000  0.000
B  0.500  0.500  0.500
I  0.500  0.500  0.000
N  0.000  0.500  0.500
N  0.500  0.000  0.500

=====

Q) GaBIN2 after structural relaxation. Source: the Alexandria database, functional PBE.

Summary:
* SG: P4/mmm (123)

Lattice parameters (Å, degrees): 3.733 3.733 7.184 90.00 90.00 90.00
Positions (direct):
Ga  0.000  0.000  0.000
B  0.500  0.500  0.500
I  0.000  0.000  0.500
N  0.000  0.500  0.000
N  0.500  0.000  0.000

=====

R) GaBIN2 after structural relaxation. Source: the Alexandria database, functional PBE.

Summary:
* SG: P4/mmm (123)

Lattice parameters (Å, degrees): 3.974 3.974 5.875 90.00 90.00 90.00
Positions (direct):
Ga  0.000  0.000  0.000
B  0.500  0.500  0.000
I  0.000  0.000  0.500
N  0.000  0.500  0.500
N  0.500  0.000  0.500

=====

Stability verdict: P), ahead by 19.5 kJ/mol of atoms

=====

P) GaBTe2I after structural relaxation. Source: the Alexandria database, functional PBE.

Summary:
* SG: P4/mmm (123)

Lattice parameters (Å, degrees): 4.960 4.960 5.217 90.00 90.00 90.00
Positions (direct):
Ga  0.000  0.000  0.000
B  0.500  0.500  0.500
Te  0.000  0.500  0.500
Te  0.500  0.000  0.500
I  0.500  0.500  0.000

=====

Q) GaBTe2I after structural relaxation. Source: the Alexandria database, functional PBE.

Summary:
* SG: P4/mmm (123)

Lattice parameters (Å, degrees): 5.409 5.409 5.637 90.00 90.00 90.00
Positions (direct):
Ga  0.000  0.000  0.000
B  0.500  0.500  0.500
Te  0.000  0.500  0.000
Te  0.500  0.000  0.000
I  0.000  0.000  0.500

=====

Stability verdict: P), ahead by 54.8 kJ/mol of atoms